# 1
## NdPu4 (PBE)

Data for an optimized crystal structure of NdPu4.

As for the total DFT energy (no corrections): -56.7 eV/f.u. The formation energy comes out at 519 kJ/mol of formula units. As for the crystal system: cubic.

The structure belongs to space group Pm-3m (No. 221); the cell edges are 5.5510, 5.5510 and 5.5510 Å and the angles 90.00°, 90.00° and 90.00°. The asymmetric unit holds Nd at (0.0000, 0.0000, 0.0000), Pu at (0.0000, 0.0000, 0.5000) and Pu at (0.5000, 0.5000, 0.5000).


# 2
## SiPbIO2 (PBE)

Data for an optimized crystal structure of SiPbIO2.

For the energy relative to the elements, uncorrected, the calculation gives -0.27 eV/atom. As for the total DFT energy (no corrections): -22.0 eV/f.u. As for the crystal system: tetragonal.

The structure belongs to space group P4/mmm (No. 123); the cell edges are 4.1118, 4.1118 and 5.4695 Å and the angles 90.00°, 90.00° and 90.00°. The asymmetric unit holds Si at (0.0000, 0.0000, 0.0000), Pb at (0.5000, 0.5000, 0.5000), I at (0.0000, 0.0000, 0.5000) and O at (0.0000, 0.5000, 0.0000).


# 3
## Mn2BiPt2 (PBE)

Data for an optimized crystal structure of Mn2BiPt2.

As for the total DFT energy (no corrections): -34.7 eV/f.u. The formation energy comes out at -38 kJ/mol of formula units. As for the crystal system: tetragonal.

The structure belongs to space group P4/mbm (No. 127); the cell edges are 7.7307, 7.7307 and 3.0130 Å and the angles 90.00°, 90.00° and 90.00°. The asymmetric unit holds Mn at (0.1434, 0.3566, 0.0000), Bi at (0.0000, 0.0000, 0.0000) and Pt at (0.1449, 0.6449, 0.5000).


Which of these has the highest total DFT energy (no corrections)? SiPbIO2


Which of these has the highest total DFT energy (no corrections)? SiPbIO2


Which of these has the highest total DFT energy (no corrections)? SiPbIO2


Which of these has the lowest total DFT energy (no corrections)? NdPu4